Record 1
Density functional theory data (PBE) for La4GeSbC after structural relaxation.

It has space group Cmcm (No. 63), with a = 7.077 Å, b = 16.766 Å, c = 7.080 Å, α = 90.00°, β = 90.00° and γ = 90.00°. The asymmetric unit holds La at (0.000, 0.071, 0.250), La at (0.000, 0.415, 0.250), La at (0.250, 0.250, 0.000), Ge at (0.000, 0.114, 0.750), Sb at (0.000, 0.389, 0.750) and C at (0.000, 0.272, 0.250).

As for the total energy: -6.01 eV/atom.


Record 2
Density functional theory data (PBE) for K2HfReN4 after structural relaxation.

It has space group Pmmn (No. 59, origin choice 2), with a = 6.202 Å, b = 6.867 Å, c = 6.936 Å, α = 90.00°, β = 90.00° and γ = 90.00°. The asymmetric unit holds K at (0.250, 0.001, 0.214), Hf at (0.250, 0.250, 0.665), Re at (0.250, 0.750, 0.670), N at (0.011, 0.750, 0.509) and N at (0.250, 0.517, 0.811).

As for the total energy: -7.81 eV/atom.


Record 3
Density functional theory data (PBE) for KNiMo2 after structural relaxation.

It has space group C2/m (No. 12), with a = 5.319 Å, b = 10.519 Å, c = 2.622 Å, α = 90.00°, β = 106.43° and γ = 90.00°. The asymmetric unit holds K at (0.000, 0.000, 0.000), Ni at (0.000, 0.500, 0.000) and Mo at (0.250, 0.250, 0.500).

For the excess energy over the best structure of this formula in the dataset, the calculation gives 0.570 eV per atom. As for the total energy: -5.90 eV/atom. As for the formation energy: 1.2369 eV per atom.


What is the total energy in the third record? -5.90 eV/atom